Crystalline Ba3Ti2FeO9 at its relaxed geometry. Source: Alexandria, functional PBE+U.

```
15
Lattice="-5.577 -0.410 -0.869 3.593 -2.929 -3.247 -0.304 -5.317 4.460" Properties=species:S:1:pos:R:3 pbc="T T T"
O -0.992 -1.669 -2.058
Ti -2.773 -5.671 2.047
O 1.796 -1.464 -1.623
O -2.452 -5.835 0.064
Ba 0.000 0.000 0.000
O -2.788 -0.205 -0.435
Fe -0.152 -2.659 2.230
Ba 0.335 -5.618 0.505
O -0.836 -4.504 -1.794
Ti 0.485 -2.985 -1.703
Ba -2.623 -3.038 -0.162
O -1.452 -4.152 2.138
O -4.262 -4.359 1.700
O 1.974 -4.297 -1.357
O 0.164 -2.821 0.280
```

Calculated values
The calculation puts the density of states at the Fermi level at 0.25 states/eV/atom. Its space group is P-3m1. For the size of the total moment, the calculation gives 2.0 μB/cell. The value obtained for the uncorrected energy is -7.31 eV per atom. The volume is 12.845 A^3/atom.